# Nd7Sm2Dy2

Nd7Sm2Dy2 after structural relaxation (PBE, Alexandria via LeMat-Bulk).

a b c (Å): 6.268 18.024 13.685
angles (deg): 90.00 100.27 90.00
Space group C2/c (No. 15)
Unique sites:
Nd  0.000  0.140  0.250 x4
Nd  0.060  0.350  0.892 x8
Nd  0.197  0.317  0.172 x8
Nd  0.240  0.004  0.933 x8
Sm  0.106  0.172  0.523 x8
Dy  0.233  0.474  0.320 x8

Summary:
* energy above the most stable polymorph in this dataset: 0.000 eV/atom
* energy relative to the elements: 109 meV per atom
* volume: 380.3 Å³/f.u.

---

# Pr4DyTm2Th

Pr4DyTm2Th after structural relaxation (PBE, Alexandria via LeMat-Bulk).

a b c (Å): 11.428 5.148 10.234
angles (deg): 90.00 116.74 90.00
Space group C2/m (No. 12)
Unique sites:
Pr  0.249  0.000  0.123 x4
Pr  0.249  0.500  0.373 x4
Dy  0.000  0.500  0.500 x2
Tm  0.001  0.000  0.248 x4
Th  0.000  0.500  0.000 x2

Summary:
* energy relative to the elements: 46 meV per atom
* volume: 268.9 Å³/f.u.

---

# In12Ag3Se5

In12Ag3Se5 after structural relaxation (PBE, Alexandria via LeMat-Bulk).

a b c (Å): 16.797 16.797 16.797
angles (deg): 90.00 90.00 90.00
Space group Ia-3d (No. 230)
Unique sites:
In  0.018  0.083  0.653 x96
Ag  0.000  0.250  0.125 x24
Se  0.000  0.000  0.000 x16
Se  0.000  0.250  0.375 x24

Summary:
* volume: 592.4 Å³/f.u.
* uncorrected formation energy: -87 meV/atom

---

# TiIn3O

TiIn3O after structural relaxation (PBE, Alexandria via LeMat-Bulk).

a b c (Å): 5.428 5.428 5.428
angles (deg): 90.00 90.00 90.00
Space group Pm-3m (No. 221)
Unique sites:
Ti  0.000  0.000  0.000 x1
In  0.000  0.000  0.500 x3
O  0.500  0.500  0.500 x1

Summary:
* energy above the most stable polymorph in this dataset: 0.901 eV/atom
* volume: 159.9 Å³/f.u.
* uncorrected formation energy: 835 meV/atom